The following is a DFT calculation (PBE) of Tc3OsCl after structural relaxation.

Cell lengths 4.285, 4.285, 4.285 Å; angles 90.00, 90.00, 90.00 degrees
Fractional positions:
Tc (0.500, 0.000, 0.000)
Tc (0.000, 0.000, 0.500)
Tc (0.000, 0.500, 0.000)
Cl (0.000, 0.000, 0.000)
Os (0.500, 0.500, 0.500)

- Calculated volume: 78.7 Å³/cell
- Polymorph energy (0 for the lowest one): 0.0000 eV/atom
- DFT total energy: -7.461 eV/atom
- Formation energy from raw total energies: 1.374 eV/atom
- DOS at the Fermi energy: 8.02 states/eV/cell

***

The following is a DFT calculation (PBE) of Li2TlPtO4 after structural relaxation.

Cell lengths 5.342, 5.399, 5.399 Å; angles 59.30, 60.35, 60.35 degrees
Fractional positions:
Tl (0.000, 0.000, 0.000)
Li (0.250, 0.250, 0.250)
Li (0.750, 0.750, 0.750)
O (0.496, 0.504, 0.858)
O (0.142, 0.858, 0.504)
O (0.504, 0.142, 0.496)
O (0.858, 0.496, 0.142)
Pt (0.500, 0.500, 0.500)

- Calculated volume: 110.1 Å³/cell
- DFT total energy: -4.835 eV/atom
- Formation energy from raw total energies: -0.827 eV/atom
- DOS at the Fermi energy: 2.93 states/eV/cell

***

The following is a DFT calculation (PBE) of Rb2DyBiO6 after structural relaxation.

Cell lengths 6.225, 6.225, 6.225 Å; angles 60.00, 60.00, 60.00 degrees
Fractional positions:
O (0.757, 0.243, 0.243)
O (0.757, 0.757, 0.243)
O (0.757, 0.243, 0.757)
O (0.243, 0.757, 0.243)
O (0.243, 0.243, 0.757)
O (0.243, 0.757, 0.757)
Dy (0.500, 0.500, 0.500)
Rb (0.250, 0.250, 0.250)
Rb (0.750, 0.750, 0.750)
Bi (0.000, 0.000, 0.000)

- Calculated volume: 170.6 Å³/cell
- DFT total energy: -5.553 eV/atom
- Formation energy from raw total energies: -1.537 eV/atom
- DOS at the Fermi energy: 6.12 states/eV/cell